Entry 1:
Compound: PrHo2Rh3
Source: the Alexandria database
Functional: PBE-GGA
Structure: relaxed

abc: 4.8916 4.8916 6.0253
angles: 90.00 90.00 120.00
With the nearest neighbours (Å) after each atom.
Fractional positions:
Pr (0.0000, 0.0000, 0.0000)  8 Rh 3.01-3.02
Ho (0.3333, 0.6667, 0.6621)  8 Rh 2.91-3.12
Ho (0.6667, 0.3333, 0.3379)  8 Rh 2.91-3.12
Rh (0.0000, 0.0000, 0.5000)  6 Ho 2.99, 2 Pr 3.01
Rh (0.3333, 0.6667, 0.1798)  5 Ho 2.91-3.12, 3 Pr 3.02
Rh (0.6667, 0.3333, 0.8202)  5 Ho 2.91-3.12, 3 Pr 3.02

Values from the calculation:
**Total moment**: 0.00 μB per cell
**SG**: P-3m1, No. 164
**Energy of formation**: -0.785 eV per atom
**D(E_F)**: 4.506 states/eV per cell

=====

Entry 2:
Compound: BaSrAgPt
Source: the Alexandria database
Functional: PBE-GGA
Structure: relaxed

abc: 4.7401 6.3262 6.3262
angles: 41.02 90.00 90.00
With the nearest neighbours (Å) after each atom.
Fractional positions:
Ba (0.0000, 0.0000, 0.0000)  3 Pt 3.32-3.42, 4 Ag 3.37
Sr (0.5000, 0.2789, 0.2789)  3 Ag 3.25-3.55, 4 Pt 3.32
Ag (0.5000, 0.5780, 0.5780)  2 Pt 2.90, 2 Sr 3.25
Pt (0.0000, 0.7197, 0.7197)  2 Ag 2.90

Values from the calculation:
**Total moment**: 0.00 μB per cell
**SG**: Amm2, No. 38
**Energy of formation**: -0.531 eV per atom
**D(E_F)**: 1.591 states/eV per cell

=====

Entry 3:
Compound: Nd2Dy3Ho5
Source: the Alexandria database
Functional: PBE-GGA
Structure: relaxed

abc: 12.2938 12.2938 12.2938
angles: 135.20 56.13 147.98
With the nearest neighbours (Å) after each atom.
Fractional positions:
Nd (0.1252, 0.1025, 0.2277)  1 Ho 2.90
Nd (0.3748, 0.6025, 0.9773)  1 Ho 2.90
Nd (0.6252, 0.3975, 0.0227)  1 Ho 2.90
Nd (0.8748, 0.8975, 0.7723)  1 Ho 2.90
Dy (0.1257, 0.7492, 0.8749)  1 Ho 3.16, 1 Nd 3.31
Dy (0.2500, 0.2500, 0.0000)  4 Nd 3.34, 2 Dy 3.39
Dy (0.3743, 0.2492, 0.6235)  1 Ho 3.16, 1 Nd 3.31
Dy (0.6257, 0.7508, 0.3765)  1 Ho 3.16, 1 Nd 3.31
Dy (0.7500, 0.7500, 0.0000)  4 Nd 3.34, 2 Dy 3.39
Dy (0.8743, 0.2508, 0.1251)  1 Ho 3.16, 1 Nd 3.31
Ho (0.0014, 0.7500, 0.2514)  4 Ho 3.28-3.39, 2 Nd 3.36
Ho (0.1247, 0.4121, 0.5368)  1 Nd 2.90, 1 Dy 3.16
Ho (0.2500, 0.7500, 0.5000)  6 Ho 3.30-3.39
Ho (0.3753, 0.9121, 0.2873)  1 Nd 2.90, 1 Dy 3.16
Ho (0.4986, 0.7500, 0.7486)  4 Ho 3.28-3.39, 2 Nd 3.36
Ho (0.5014, 0.2500, 0.2514)  4 Ho 3.28-3.39, 2 Nd 3.36
Ho (0.6247, 0.0879, 0.7127)  1 Nd 2.90, 1 Dy 3.16
Ho (0.7500, 0.2500, 0.5000)  6 Ho 3.30-3.39
Ho (0.8753, 0.5879, 0.4632)  1 Nd 2.90, 1 Dy 3.16
Ho (0.9986, 0.2500, 0.7486)  4 Ho 3.28-3.39, 2 Nd 3.36

Values from the calculation:
**Total moment**: 0.00 μB per cell
**SG**: Ibam, No. 72
**Energy of formation**: 0.411 eV per atom
**D(E_F)**: 31.683 states/eV per cell